First-principles (PBE+U) data for crystalline RbMnPdF6 at its relaxed geometry, as listed in Alexandria.

Calculated values
The calculation puts the total energy at -43.7 eV per formula unit. The value obtained for the total magnetization is 3.9 μB per formula unit.

Structure (POSCAR):
```
RbMnPdF6
1.0
3.102 -4.666 0.000
3.102 4.666 0.000
-0.366 0.000 5.868
Rb Mn Pd F
1 1 1 6
Direct
0.000 0.000 0.000 Rb
0.352 0.648 0.500 Mn
0.683 0.317 0.500 Pd
0.015 0.347 0.661 F
0.115 0.672 0.288 F
0.328 0.885 0.712 F
0.379 0.358 0.321 F
0.642 0.621 0.679 F
0.653 0.985 0.339 F
```